The following is a PBE-GGA calculation of a relaxed structure of FeNi14Ir, from Alexandria.

M_tot (μB/f.u.): 12.85
Calculated density (g/cm³): 9.86
Formation energy from the elements (eV per atom): 0.00
DOS at the Fermi energy (states/eV per cell): 25.5

Geometry as POSCAR:
```
FeNi14Ir
1.0
-0.8609 3.1994 3.7928
2.9100 -4.0448 0.7308
6.6026 4.3569 -2.1767
Ni Fe Ir
14 1 1
direct
0.5405 0.9581 0.5000
0.8774 0.6263 0.2471
0.3744 0.6256 0.2468
0.0419 0.4595 0.5000
0.7082 0.7924 0.0000
0.8758 0.1242 0.7506
0.8758 0.1242 0.2494
0.3737 0.1226 0.2471
0.3744 0.6256 0.7532
0.7083 0.2917 0.0000
0.8774 0.6263 0.7529
0.2076 0.2918 0.0000
0.2079 0.7921 0.0000
0.3737 0.1226 0.7529
0.0418 0.9582 0.5000
0.5412 0.4588 0.5000
```

=====

The following is a PBE-GGA calculation of a relaxed structure of AlFeP2Cl, from Alexandria.

Formation energy from raw total energies (eV/f.u.): 3.4
M_tot (μB/f.u.): 3.54
Calculated density (g/cm³): 2.96
DOS at the Fermi energy (states/eV per cell): 6.6

Geometry as POSCAR:
```
AlFeP2Cl
1.0
-4.4649 -0.9130 1.0809
1.3286 -3.9358 2.1638
0.4786 2.3309 3.9459
P Al Fe Cl
2 1 1 1
direct
0.5000 0.0000 0.0000
0.0000 0.5000 0.0000
0.0000 0.0000 0.0000
0.5000 0.5000 0.5000
0.0000 0.0000 0.5000
```